Entry 1:
Compound: P2PbSe
Source: Alexandria via LeMat-Bulk
Functional: PBE-GGA
Structure: relaxed

## Properties
distance to the lowest polymorph of the same formula	0.679	eV/atom

abc: 4.8753 4.8753 4.8753
angles: 60.00 60.00 60.00
With the nearest neighbours (Å) after each atom.
Fractional coordinates of all 4 atoms:
Pb: 0.5000 0.5000 0.5000  8 P 2.99
Se: 0.0000 0.0000 0.0000  8 P 2.99
P: 0.2500 0.2500 0.2500  4 Pb 2.99, 4 Se 2.99
P: 0.7500 0.7500 0.7500  4 Pb 2.99, 4 Se 2.99

Entry 2:
Compound: K2CoW
Source: Alexandria via LeMat-Bulk
Functional: PBE-GGA
Structure: relaxed

## Properties
distance to the lowest polymorph of the same formula	0.753	eV/atom
calculated formation energy	618	kJ/mol of formula units

abc: 6.4309 6.4309 6.4309
angles: 146.30 146.30 48.41
With the nearest neighbours (Å) after each atom.
Fractional coordinates of all 4 atoms:
K: 0.5000 0.5000 0.0000  4 K 2.64
K: 0.0000 0.0000 0.0000  4 K 2.64
W: 0.2500 0.7500 0.5000  4 Co 2.64
Co: 0.7500 0.2500 0.5000  4 W 2.64

Entry 3:
Compound: Si2OsCl
Source: Alexandria via LeMat-Bulk
Functional: PBE-GGA
Structure: relaxed

## Properties
distance to the lowest polymorph of the same formula	1.118	eV/atom

abc: 4.7022 3.5888 3.5888
angles: 90.00 90.00 90.00
With the nearest neighbours (Å) after each atom.
Fractional coordinates of all 4 atoms:
Os: 0.5000 0.0000 0.5000  4 Cl 2.54
Cl: 0.5000 0.5000 0.0000  4 Os 2.54
Si: 0.0000 0.0000 0.0000  4 Si 2.54
Si: 0.0000 0.5000 0.5000  4 Si 2.54

Entry 4:
Compound: Cr2Ag2Pd
Source: Alexandria via LeMat-Bulk
Functional: PBE-GGA
Structure: relaxed

## Properties
distance to the lowest polymorph of the same formula	0.375	eV/atom
calculated formation energy	443	kJ/mol of formula units

abc: 7.5473 7.5473 2.7272
angles: 90.00 90.00 90.00
With the nearest neighbours (Å) after each atom.
Fractional coordinates of all 10 atoms:
Ag: 0.1279 0.3721 0.0000  6 Cr 2.54-2.66, 3 Ag 2.73
Cr: 0.3288 0.1712 0.5000  6 Ag 2.54-2.66, 2 Cr 2.73
Ag: 0.6279 0.1279 0.0000  6 Cr 2.54-2.66, 3 Ag 2.73
Cr: 0.6712 0.8288 0.5000  6 Ag 2.54-2.66, 2 Cr 2.73
Pd: 0.5000 0.5000 0.0000  2 Pd 2.73, 4 Ag 2.97
Pd: 0.0000 0.0000 0.0000  2 Pd 2.73, 4 Ag 2.97
Cr: 0.8288 0.3288 0.5000  6 Ag 2.54-2.66, 2 Cr 2.73
Cr: 0.1712 0.6712 0.5000  6 Ag 2.54-2.66, 2 Cr 2.73
Ag: 0.8721 0.6279 0.0000  6 Cr 2.54-2.66, 3 Ag 2.73
Ag: 0.3721 0.8721 0.0000  6 Cr 2.54-2.66, 3 Ag 2.73

Entry 5:
Compound: NdHfRu2
Source: Alexandria via LeMat-Bulk
Functional: PBE-GGA
Structure: relaxed

## Properties
calculated formation energy	-162	kJ/mol of formula units

abc: 3.3345 3.3345 6.9137
angles: 90.00 90.00 90.00
With the nearest neighbours (Å) after each atom.
Fractional coordinates of all 4 atoms:
Ru: 0.0000 0.0000 0.2208  4 Hf 2.81, 4 Nd 3.05, 1 Ru 3.05
Ru: 0.0000 0.0000 0.7792  4 Hf 2.81, 4 Nd 3.05, 1 Ru 3.05
Hf: 0.5000 0.5000 0.0000  8 Ru 2.81
Nd: 0.5000 0.5000 0.5000  8 Ru 3.05, 4 Nd 3.33

Entry 6:
Compound: KZn2BCl2O3
Source: Alexandria via LeMat-Bulk
Functional: PBE-GGA
Structure: relaxed

## Properties
total energy	-45.48	eV/cell

abc: 9.3936 9.3936 9.3936
angles: 30.95 30.95 30.95
With the nearest neighbours (Å) after each atom.
Fractional coordinates of all 9 atoms:
Cl: 0.2205 0.2205 0.2205  1 Zn 2.28
Cl: 0.7795 0.7795 0.7795  1 Zn 2.28
Zn: 0.3054 0.3054 0.3054  3 O 1.98
O: 0.7240 0.0000 0.2760  1 B 1.38
K: 0.5000 0.5000 0.5000  6 Cl 3.23
O: 0.2760 0.7240 0.0000  1 B 1.38
O: 0.0000 0.2760 0.7240  1 B 1.38
Zn: 0.6946 0.6946 0.6946  3 O 1.98
B: 0.0000 0.0000 0.0000  3 O 1.38

Entry 7:
Compound: CeSmTe2S
Source: Alexandria via LeMat-Bulk
Functional: PBE-GGA
Structure: relaxed

## Properties
total energy	-57.46	eV/cell

abc: 4.4582 4.4582 15.6272
angles: 90.00 90.00 90.00
With the nearest neighbours (Å) after each atom.
Fractional coordinates of all 10 atoms:
Sm: 0.0000 0.5000 0.8925  6 Te 3.04-3.25
Sm: 0.5000 0.0000 0.1075  6 Te 3.04-3.25
Ce: 0.5000 0.0000 0.6045  4 S 2.76
S: 0.5000 0.5000 0.5000  4 Ce 2.76
Te: 0.0000 0.5000 0.6978  1 Sm 3.04
Te: 0.0000 0.5000 0.1004  5 Sm 3.15-3.25
S: 0.0000 0.0000 0.5000  4 Ce 2.76
Te: 0.5000 0.0000 0.8996  5 Sm 3.15-3.25
Ce: 0.0000 0.5000 0.3955  4 S 2.76
Te: 0.5000 0.0000 0.3022  1 Sm 3.04

Entry 8:
Compound: MgGaPb2
Source: Alexandria via LeMat-Bulk
Functional: PBE-GGA
Structure: relaxed

## Properties
distance to the lowest polymorph of the same formula	0.030	eV/atom
calculated formation energy	17	kJ/mol of formula units

abc: 5.2820 5.2820 5.2820
angles: 60.00 60.00 60.00
With the nearest neighbours (Å) after each atom.
Fractional coordinates of all 4 atoms:
Pb: 0.7500 0.7500 0.7500  4 Mg 3.23, 4 Ga 3.23
Mg: 0.0000 0.0000 0.0000  8 Pb 3.23
Pb: 0.2500 0.2500 0.2500  4 Mg 3.23, 4 Ga 3.23
Ga: 0.5000 0.5000 0.5000  8 Pb 3.23

Entry 9:
Compound: LiCl2
Source: Alexandria via LeMat-Bulk
Functional: PBE-GGA
Structure: relaxed

## Properties
distance to the lowest polymorph of the same formula	0.282	eV/atom

abc: 7.5336 7.5336 7.5336
angles: 159.55 153.48 33.73
With the nearest neighbours (Å) after each atom.
Fractional coordinates of all 3 atoms:
Cl: 0.6132 0.6132 0.0000  2 Cl 2.68, 4 Li 2.73
Li: 0.0000 0.0000 0.0000  2 Li 2.68, 8 Cl 2.73
Cl: 0.3868 0.3868 0.0000  2 Cl 2.68, 4 Li 2.73

Entry 10:
Compound: MgSc2CuH
Source: Alexandria via LeMat-Bulk
Functional: PBE-GGA
Structure: relaxed

## Properties
distance to the lowest polymorph of the same formula	0.000	eV/atom

abc: 4.6178 4.6178 3.7457
angles: 90.00 90.00 90.00
With the nearest neighbours (Å) after each atom.
Fractional coordinates of all 5 atoms:
Sc: 0.5000 0.0000 0.0000  2 H 2.31
H: 0.0000 0.0000 0.0000  2 Cu 1.87
Mg: 0.5000 0.5000 0.5000  8 Sc 2.97, 4 Cu 3.27
Sc: 0.0000 0.5000 0.0000  2 H 2.31
Cu: 0.0000 0.0000 0.5000  2 H 1.87

Entry 11:
Compound: ReAg2Se
Source: Alexandria via LeMat-Bulk
Functional: PBE-GGA
Structure: relaxed

## Properties
total energy	-19.40	eV/cell

abc: 4.5991 4.5991 5.5337
angles: 81.48 81.48 37.86
With the nearest neighbours (Å) after each atom.
Fractional coordinates of all 4 atoms:
Se: 0.2323 0.2323 0.3070  3 Re 2.51-2.64
Ag: 0.7571 0.7571 0.7499  5 Ag 2.68-2.98, 3 Re 2.90-2.91, 2 Se 2.91
Re: 0.5060 0.5060 0.4579  3 Se 2.51-2.64
Ag: 0.0045 0.0045 0.9852  5 Ag 2.68-2.98, 1 Se 2.86

Entry 12:
Compound: Ho6CoRu2
Source: Alexandria via LeMat-Bulk
Functional: PBE-GGA
Structure: relaxed

## Properties
calculated formation energy	-246	kJ/mol of formula units

abc: 6.4152 7.3305 9.3358
angles: 90.00 88.50 90.00
With the nearest neighbours (Å) after each atom.
Fractional coordinates of all 18 atoms:
Ho: 0.8415 0.6707 0.9326  1 Co 2.59
Ho: 0.3483 0.5435 0.7443  1 Co 2.62, 2 Ru 2.76-2.78
Ru: 0.9593 0.3790 0.7340  6 Ho 2.76-3.00
Ho: 0.3349 0.8212 0.0669  1 Co 2.65, 1 Ru 2.82
Ho: 0.6517 0.4565 0.2557  1 Co 2.62, 2 Ru 2.76-2.78
Ho: 0.1585 0.3293 0.0674  1 Co 2.59
Ho: 0.8483 0.9565 0.2443  1 Co 2.62, 2 Ru 2.76-2.78
Ho: 0.1517 0.0435 0.7557  1 Co 2.62, 2 Ru 2.76-2.78
Co: 0.0000 0.0000 0.5000  6 Ho 2.59-2.65
Ho: 0.1651 0.3212 0.4331  1 Co 2.65, 1 Ru 2.82
Ho: 0.3415 0.8293 0.4326  1 Co 2.59
Ho: 0.6651 0.1788 0.9331  1 Co 2.65, 1 Ru 2.82
Ho: 0.8349 0.6788 0.5669  1 Co 2.65, 1 Ru 2.82
Ru: 0.0407 0.6210 0.2660  6 Ho 2.76-3.00
Ru: 0.4593 0.1210 0.2340  6 Ho 2.76-3.00
Co: 0.5000 0.5000 0.0000  6 Ho 2.59-2.65
Ru: 0.5407 0.8790 0.7660  6 Ho 2.76-3.00
Ho: 0.6585 0.1707 0.5674  1 Co 2.59

Question: What is the formula in the ninth record?
Answer: LiCl2